(1)
Below is YHo3Er6 after structural relaxation, with properties calculated at the PBE-GGA level.

Results
The polymorph energy (0 for the lowest one) comes out at 0 meV/atom. For the energy relative to the elements, the calculation gives 0.124 eV per atom.

Cell lengths 6.318, 11.437, 11.437 Å; angles 130.87, 90.00, 90.00 degrees
Fractional positions:
Er 0.068 0.379 0.257
Er 0.788 0.302 0.698
Ho 0.489 0.297 0.042
Er 0.816 0.014 0.986
Er 0.829 0.543 0.105
Ho 0.989 0.703 0.958
Er 0.316 0.986 0.014
Ho 0.594 0.580 0.420
Er 0.068 0.743 0.621
Er 0.329 0.457 0.895
Ho 0.489 0.958 0.703
Er 0.568 0.257 0.379
Y 0.515 0.838 0.162
Ho 0.094 0.420 0.580
Er 0.568 0.621 0.743
Er 0.288 0.698 0.302
Ho 0.989 0.042 0.297
Er 0.829 0.895 0.457
Er 0.329 0.105 0.543
Y 0.015 0.162 0.838



(2)
Below is Y3Ho2Er2 after structural relaxation, with properties calculated at the PBE-GGA level.

Results
The polymorph energy (0 for the lowest one) comes out at 0 meV/atom. For the energy relative to the elements, the calculation gives 0.047 eV per atom.

Cell lengths 3.529, 12.971, 5.448 Å; angles 77.89, 90.00, 113.91 degrees
Fractional positions:
Ho 0.260 0.840 0.580
Er 0.575 0.717 0.142
Y 0.673 0.448 0.276
Y 0.327 0.552 0.724
Ho 0.740 0.160 0.420
Y 0.000 0.000 0.000
Er 0.425 0.283 0.858



(3)
Below is YHo5Er2 after structural relaxation, with properties calculated at the PBE-GGA level.

Results
For the energy relative to the elements, the calculation gives 0.019 eV per atom.

Cell lengths 4.981, 7.052, 14.105 Å; angles 90.00, 90.00, 90.00 degrees
Fractional positions:
Ho 0.000 0.000 0.751
Ho 0.000 0.500 0.500
Er 0.500 0.250 0.625
Ho 0.000 0.000 0.249
Y 0.000 0.000 0.500
Ho 0.500 0.749 0.625
Er 0.500 0.750 0.375
Ho 0.000 0.500 0.251
Ho 0.500 0.751 0.125
Ho 0.500 0.251 0.375
Ho 0.000 0.000 0.000
Y 0.000 0.500 0.000
Ho 0.000 0.500 0.749
Er 0.500 0.250 0.125
Er 0.500 0.750 0.875
Ho 0.500 0.249 0.875



(4)
Below is Y2Ho3Er9 after structural relaxation, with properties calculated at the PBE-GGA level.

Results
For the energy relative to the elements, the calculation gives 0.127 eV per atom.

Cell lengths 5.484, 14.037, 11.721 Å; angles 44.16, 45.42, 54.15 degrees
Fractional positions:
Ho 0.137 0.122 0.120
Ho 0.000 0.999 0.001
Er 0.423 0.705 0.679
Y 0.339 0.771 0.336
Er 0.697 0.928 0.608
Er 0.577 0.295 0.321
Er 0.303 0.072 0.392
Er 0.505 0.343 0.987
Ho 0.863 0.878 0.880
Er 0.000 0.500 0.500
Y 0.661 0.229 0.664
Er 0.115 0.490 0.767
Er 0.496 0.657 0.012
Er 0.886 0.510 0.233



(5)
Below is Y4Ho5Er3 after structural relaxation, with properties calculated at the PBE-GGA level.

Results
The polymorph energy (0 for the lowest one) comes out at 12 meV/atom. For the energy relative to the elements, the calculation gives 0.255 eV per atom.

Cell lengths 9.530, 9.530, 14.447 Å; angles 34.73, 34.73, 35.62 degrees
Fractional positions:
Y 0.131 0.131 0.943
Er 0.288 0.288 0.539
Er 0.712 0.712 0.461
Ho 0.640 0.640 0.778
Er 0.000 0.000 0.500
Y 0.021 0.021 0.688
Ho 0.360 0.360 0.222
Y 0.869 0.869 0.057
Ho 0.500 0.500 0.500
Ho 0.663 0.663 0.051
Ho 0.337 0.337 0.949
Y 0.979 0.979 0.312



(6)
Below is YHo2Er3 after structural relaxation, with properties calculated at the PBE-GGA level.

Results
The polymorph energy (0 for the lowest one) comes out at 24 meV/atom. For the energy relative to the elements, the calculation gives 0.024 eV per atom.

Cell lengths 6.097, 7.047, 9.325 Å; angles 112.20, 89.99, 90.00 degrees
Fractional positions:
Er 0.584 0.042 0.335
Er 0.750 0.624 0.000
Er 0.916 0.707 0.665
Ho 0.418 0.458 0.666
Er 0.250 0.376 0.000
Er 0.416 0.958 0.665
Ho 0.582 0.542 0.334
Er 0.084 0.293 0.335
Ho 0.082 0.791 0.334
Y 0.750 0.126 0.000
Ho 0.918 0.209 0.666
Y 0.250 0.874 0.000



(7)
Below is Y2Ho12Er5 after structural relaxation, with properties calculated at the PBE-GGA level.

Results
The polymorph energy (0 for the lowest one) comes out at 258 meV/atom. For the energy relative to the elements, the calculation gives 0.280 eV per atom.

Cell lengths 6.772, 9.193, 11.111 Å; angles 104.29, 90.00, 111.61 degrees
Fractional positions:
Ho 0.932 0.384 0.226
Ho 0.421 0.843 0.578
Er 0.209 0.418 0.509
Y 0.753 0.000 0.000
Ho 0.579 0.157 0.422
Ho 0.051 0.103 0.270
Er 0.000 0.000 0.500
Er 0.791 0.582 0.491
Ho 0.068 0.616 0.774
Ho 0.149 0.775 0.250
Ho 0.626 0.775 0.250
Ho 0.548 0.616 0.774
Er 0.775 0.549 0.006
Er 0.225 0.451 0.994
Y 0.247 0.000 0.000
Ho 0.452 0.384 0.226
Ho 0.374 0.225 0.750
Ho 0.851 0.225 0.750
Ho 0.949 0.897 0.730



(8)
Below is Y3Ho3Er after structural relaxation, with properties calculated at the PBE-GGA level.

Results
The polymorph energy (0 for the lowest one) comes out at 121 meV/atom. For the energy relative to the elements, the calculation gives 0.265 eV per atom.

Cell lengths 6.298, 6.298, 6.298 Å; angles 102.63, 102.63, 102.63 degrees
Fractional positions:
Er 0.105 0.105 0.105
Ho 0.558 0.964 0.964
Ho 0.964 0.964 0.558
Y 0.520 0.168 0.520
Ho 0.964 0.558 0.964
Y 0.520 0.520 0.168
Y 0.168 0.520 0.520



(9)
Below is Y6HoEr3 after structural relaxation, with properties calculated at the PBE-GGA level.

Results
The polymorph energy (0 for the lowest one) comes out at 0 meV/atom. For the energy relative to the elements, the calculation gives 0.118 eV per atom.

Cell lengths 6.368, 11.494, 11.494 Å; angles 130.50, 90.00, 90.00 degrees
Fractional positions:
Y 0.326 0.104 0.542
Y 0.818 0.015 0.985
Er 0.489 0.295 0.041
Ho 0.517 0.839 0.161
Y 0.070 0.741 0.622
Y 0.070 0.378 0.259
Y 0.570 0.622 0.741
Er 0.489 0.959 0.705
Er 0.094 0.419 0.581
Er 0.989 0.041 0.295
Ho 0.017 0.161 0.839
Y 0.570 0.259 0.378
Y 0.826 0.896 0.458
Er 0.989 0.705 0.959
Er 0.594 0.581 0.419
Y 0.826 0.542 0.104
Y 0.326 0.458 0.896
Y 0.286 0.699 0.301
Y 0.318 0.985 0.015
Y 0.786 0.301 0.699



(10)
Below is Y11Ho9Er4 after structural relaxation, with properties calculated at the PBE-GGA level.

Results
For the energy relative to the elements, the calculation gives 0.048 eV per atom.

Cell lengths 3.661, 15.053, 15.053 Å; angles 112.96, 90.00, 90.00 degrees
Fractional positions:
Er 0.500 0.756 0.554
Ho 0.500 0.369 0.835
Er 0.500 0.244 0.446
Y 0.000 0.160 0.840
Ho 0.500 0.631 0.165
Y 0.000 0.000 0.000
Y 0.000 0.632 0.368
Y 0.000 0.293 0.293
Ho 0.500 0.215 0.070
Y 0.000 0.407 0.045
Ho 0.500 0.500 0.500
Y 0.000 0.707 0.707
Er 0.500 0.554 0.756
Ho 0.500 0.835 0.369
Ho 0.500 0.165 0.631
Ho 0.500 0.930 0.785
Y 0.000 0.045 0.407
Y 0.000 0.840 0.160
Ho 0.500 0.785 0.930
Y 0.000 0.368 0.632
Er 0.500 0.446 0.244
Ho 0.500 0.070 0.215
Y 0.000 0.593 0.955
Y 0.000 0.955 0.593



(11)
Below is Y6Ho5Er after structural relaxation, with properties calculated at the PBE-GGA level.

Results
For the energy relative to the elements, the calculation gives 0.024 eV per atom.

Cell lengths 5.014, 7.940, 10.021 Å; angles 90.00, 90.00, 71.55 degrees
Fractional positions:
Y 0.500 0.000 0.250
Y 0.833 0.333 0.750
Er 0.000 0.000 0.000
Y 0.500 0.000 0.750
Y 0.167 0.667 0.750
Ho 0.333 0.333 0.500
Ho 0.667 0.667 0.500
Y 0.833 0.333 0.250
Ho 0.000 0.000 0.500
Y 0.167 0.667 0.250
Ho 0.666 0.667 0.000
Ho 0.334 0.333 0.000



(12)
Below is Y6Ho4Er after structural relaxation, with properties calculated at the PBE-GGA level.

Results
The polymorph energy (0 for the lowest one) comes out at 170 meV/atom. For the energy relative to the elements, the calculation gives 0.296 eV per atom.

Cell lengths 6.521, 6.521, 9.745 Å; angles 109.55, 109.55, 90.00 degrees
Fractional positions:
Ho 0.952 0.952 0.263
Ho 0.048 0.689 0.737
Ho 0.689 0.048 0.737
Y 0.512 0.512 0.652
Y 0.000 0.500 0.000
Y 0.488 0.861 0.348
Er 0.500 0.500 0.000
Y 0.861 0.488 0.348
Y 0.139 0.139 0.652
Ho 0.311 0.311 0.263
Y 0.500 0.000 0.000



Number 1: DOS(E_F) 31.655 states/eV per cell, E -4.63 eV per atom, volume 31.25 Å³ per atom. Number 2: DOS(E_F) 13.775 states/eV per cell, E -5.33 eV per atom, volume 31.70 Å³ per atom. Number 3: DOS(E_F) 18.292 states/eV per cell, E -4.79 eV per atom, volume 30.97 Å³ per atom. Number 4: DOS(E_F) 22.252 states/eV per cell, E -4.71 eV per atom, volume 31.54 Å³ per atom. Number 5: DOS(E_F) 19.837 states/eV per cell, E -4.95 eV per atom, volume 32.15 Å³ per atom. Number 6: DOS(E_F) 17.457 states/eV per cell, E -4.86 eV per atom, volume 30.91 Å³ per atom. Number 7: DOS(E_F) 30.510 states/eV per cell, E -4.49 eV per atom, volume 32.63 Å³ per atom. Number 8: DOS(E_F) 11.998 states/eV per cell, E -5.12 eV per atom, volume 32.62 Å³ per atom. Number 9: DOS(E_F) 32.414 states/eV per cell, E -5.59 eV per atom, volume 31.99 Å³ per atom. Number 10: DOS(E_F) 31.492 states/eV per cell, E -5.39 eV per atom, volume 31.83 Å³ per atom. Number 11: DOS(E_F) 16.538 states/eV per cell, E -5.50 eV per atom, volume 31.54 Å³ per atom. Number 12: DOS(E_F) 14.709 states/eV per cell, E -5.31 eV per atom, volume 33.19 Å³ per atom.